! MnNi7Ge2P2 PBE-GGA optimized geometry; values from VASP
! calculated volume = 13.59 A^3/atom
! symmetry = C2/m (12)
! DOS(E_F) = 5.90 states/eV per cell
! raw total energy = -6.002 eV/atom
&SYSTEM
  ibrav = 0, nat = 12, ntyp = 4
/
ATOMIC_SPECIES
Mn 54.94 Mn.upf
Ni 58.69 Ni.upf
Ge 72.64 Ge.upf
P 30.97 P.upf
CELL_PARAMETERS angstrom
2.461 -2.495 0.000
2.461 2.495 0.000
-1.288 0.000 13.278
ATOMIC_POSITIONS crystal
Mn 0.000 0.000 0.000
Ni 0.037 0.537 0.141
Ni 0.389 0.389 0.593
Ni 0.463 0.963 0.859
Ni 0.500 0.500 0.000
Ni 0.537 0.037 0.141
Ni 0.611 0.611 0.407
Ni 0.963 0.463 0.859
Ge 0.131 0.131 0.417
Ge 0.869 0.869 0.583
P 0.437 0.437 0.758
P 0.563 0.563 0.242